Li2RuWO6: relaxed, PBE+U.

Computed properties:
Calculated volume = 121.24 Å³ per cell
E_tot = -6.655 eV per atom
Crystal system = tetragonal

a b c (Å): 5.635 5.635 3.818
angles (deg): 90.00 90.00 90.00
Space group P4mm (No. 99)
One atom of each set of equivalent atoms:
Li1 0.000 0.500 0.000 (multiplicity 2)
Ru1 0.000 0.000 0.904 (multiplicity 1)
W1 0.500 0.500 0.892 (multiplicity 1)
O1 0.000 0.000 0.406 (multiplicity 1)
O2 0.257 0.257 0.912 (multiplicity 4)
O3 0.500 0.500 0.402 (multiplicity 1)